The following is a PBEsol calculation of crystalline BaSiHg at its relaxed geometry, from Alexandria.

energy = -3.260 eV/atom
density = 7.1 Mg/m³
calculated volume = 85 Å³/cell

```
data_BaSiHg
_chemical_formula_sum 'Ba1 Si1 Hg1'
_cell_length_a 4.4924
_cell_length_b 4.4924
_cell_length_c 4.8904
_cell_angle_alpha 90.00
_cell_angle_beta 90.00
_cell_angle_gamma 120.00
_symmetry_space_group_name_H-M 'P -6 m 2'
_symmetry_Int_Tables_number 187
_symmetry_space_group_name_Hall 'P -6 2'
loop_
_atom_site_label
_atom_site_type_symbol
_atom_site_fract_x
_atom_site_fract_y
_atom_site_fract_z
_atom_site_occupancy
Ba1 Ba 0.0000 0.0000 0.0000 1
Si1 Si 0.6667 0.3333 0.5000 1
Hg1 Hg 0.3333 0.6667 0.5000 1
```

---

The following is a PBEsol calculation of crystalline K4Hf3MnP6O24 at its relaxed geometry, from Alexandria.

energy = -8.062 eV/atom
density = 4.1 Mg/m³
calculated volume = 1058 Å³/cell

```
data_K4Hf3MnP6O24
_chemical_formula_sum 'K8 Hf6 Mn2 P12 O48'
_cell_length_a 10.2012
_cell_length_b 10.1563
_cell_length_c 10.2137
_cell_angle_alpha 90.00
_cell_angle_beta 90.06
_cell_angle_gamma 90.00
_symmetry_space_group_name_H-M 'P 1 21 1'
_symmetry_Int_Tables_number 4
loop_
_symmetry_equiv_pos_as_xyz
'x,y,z'
'-x,y+1/2,-z'
loop_
_atom_site_label
_atom_site_type_symbol
_atom_site_fract_x
_atom_site_fract_y
_atom_site_fract_z
_atom_site_occupancy
K1 K 0.0405 0.0000 0.3194 1
K2 K 0.1728 0.7297 0.9258 1
K3 K 0.3021 0.3614 0.4447 1
K4 K 0.4298 0.1082 0.7790 1
Hf1 Hf 0.1598 0.3881 0.0877 1
Hf2 Hf 0.3335 0.7151 0.5871 1
Hf3 Hf 0.3928 0.9412 0.1436 1
Mn1 Mn 0.0994 0.1529 0.6438 1
P1 P 0.0176 0.8395 0.6261 1
P2 P 0.1264 0.0681 0.9590 1
P3 P 0.2103 0.6770 0.2714 1
P4 P 0.2856 0.4294 0.7731 1
P5 P 0.3792 0.0257 0.4594 1
P6 P 0.4754 0.2632 0.1287 1
O1 O 0.0035 0.9809 0.5782 1
O2 O 0.0074 0.4996 0.0161 1
O3 O 0.0404 0.3230 0.2325 1
O4 O 0.0545 0.2412 0.4606 1
O5 O 0.0749 0.7378 0.2658 1
O6 O 0.1111 0.2124 0.0044 1
O7 O 0.1655 0.8021 0.6404 1
O8 O 0.1735 0.0577 0.8190 1
O9 O 0.2036 0.3280 0.7024 1
O10 O 0.2192 0.5437 0.1983 1
O11 O 0.2247 0.9959 0.0519 1
O12 O 0.2480 0.4490 0.9186 1
O13 O 0.2587 0.6522 0.4130 1
O14 O 0.2657 0.5652 0.7058 1
O15 O 0.2847 0.0969 0.5485 1
O16 O 0.3124 0.7673 0.2007 1
O17 O 0.3296 0.0250 0.3150 1
O18 O 0.3343 0.3088 0.1551 1
O19 O 0.4049 0.8812 0.5014 1
O20 O 0.4331 0.3904 0.7685 1
O21 O 0.4437 0.7806 0.7454 1
O22 O 0.4587 0.8498 0.9766 1
O23 O 0.4756 0.1187 0.0818 1
O24 O 0.4862 0.5962 0.5347 1
```

---

The following is a PBEsol calculation of crystalline NaAlTl2Pt at its relaxed geometry, from Alexandria.

density = 8.2 Mg/m³
calculated volume = 132 Å³/cell
ΔH_f (0 K) = 892 meV/atom

```
data_NaAlTl2Pt
_chemical_formula_sum 'Na1 Al1 Tl2 Pt1'
_cell_length_a 5.2114
_cell_length_b 5.2114
_cell_length_c 4.8596
_cell_angle_alpha 90.00
_cell_angle_beta 90.00
_cell_angle_gamma 90.00
_symmetry_space_group_name_H-M 'P 4/m m m'
_symmetry_Int_Tables_number 123
_symmetry_space_group_name_Hall '-P 4 2'
loop_
_atom_site_label
_atom_site_type_symbol
_atom_site_fract_x
_atom_site_fract_y
_atom_site_fract_z
_atom_site_occupancy
Na1 Na 0.0000 0.0000 0.0000 1
Al1 Al 0.5000 0.5000 0.5000 1
Tl1 Tl 0.0000 0.5000 0.0000 1
Pt1 Pt 0.0000 0.0000 0.5000 1
```

---

The following is a PBEsol calculation of crystalline TcN at its relaxed geometry, from Alexandria.

density = 8.8 Mg/m³
energy relative to the lowest polymorph listed for this composition = 0.0 meV per atom
calculated volume = 64 Å³/cell

```
data_TcN
_chemical_formula_sum 'Tc3 N3'
_cell_length_a 3.9933
_cell_length_b 3.9933
_cell_length_c 3.9933
_cell_angle_alpha 90.00
_cell_angle_beta 90.00
_cell_angle_gamma 90.00
_symmetry_space_group_name_H-M 'P m -3 m'
_symmetry_Int_Tables_number 221
_symmetry_space_group_name_Hall '-P 4 2 3'
loop_
_atom_site_label
_atom_site_type_symbol
_atom_site_fract_x
_atom_site_fract_y
_atom_site_fract_z
_atom_site_occupancy
Tc1 Tc 0.0000 0.0000 0.5000 1
N1 N 0.0000 0.5000 0.5000 1
```

---

- Which value of density does entry 4 give?
  8.8 Mg/m³